Record 1
A plane-wave DFT calculation with PBE was carried out for a relaxed structure of Cs2PtSe4. Values from VASP.

Cell and atoms, written as Quantum ESPRESSO input:
```
&SYSTEM
  ibrav = 0, nat = 7, ntyp = 3
/
ATOMIC_SPECIES
Cs 132.91 Cs.upf
Se 78.96 Se.upf
Pt 195.08 Pt.upf
CELL_PARAMETERS angstrom
-4.7115 -2.1616 -1.0593
2.0343 -2.3305 -4.2923
0.8161 -9.3271 2.1900
ATOMIC_POSITIONS crystal
Cs 0.3536 0.3536 0.2928
Cs 0.6464 0.6464 0.7072
Se 0.1369 0.1369 0.7261
Se 0.8631 0.8631 0.2739
Se 0.0000 0.5000 0.0000
Se 0.5000 0.0000 0.0000
Pt 0.0000 0.0000 0.0000
```

DOS at the Fermi energy ... 6.735 states/eV per cell
Crystal system ... tetragonal
SG ... I4/mmm
Total magnetic moment ... 2.40 μB/cell
Formation energy (no corrections) ... -38 kJ/mol of atoms

Record 2
A plane-wave DFT calculation with PBE was carried out for a relaxed structure of CaPrH. Values from VASP.

Cell and atoms, written as Quantum ESPRESSO input:
```
&SYSTEM
  ibrav = 0, nat = 6, ntyp = 3
/
ATOMIC_SPECIES
Pr 140.91 Pr.upf
H 1.01 H.upf
Ca 40.08 Ca.upf
CELL_PARAMETERS angstrom
3.5517 0.0000 0.0000
1.7759 6.0769 -1.1938
1.7759 1.5185 6.7406
ATOMIC_POSITIONS crystal
Pr 0.9800 0.3717 0.6683
Pr 0.6193 0.8661 0.8953
H 0.3143 0.6506 0.7208
H 0.9695 0.9188 0.1422
Ca 0.3768 0.8348 0.4116
Ca 0.7634 0.2978 0.1753
```

DOS at the Fermi energy ... 5.936 states/eV per cell
Crystal system ... monoclinic
SG ... Cm
Total magnetic moment ... 0.00 μB/cell
Energy above the lowest structure with this stoichiometry ... 0.027 eV per atom

Record 3
A plane-wave DFT calculation with PBE was carried out for a relaxed structure of SrAc6In2. Values from VASP.

Cell and atoms, written as Quantum ESPRESSO input:
```
&SYSTEM
  ibrav = 0, nat = 9, ntyp = 3
/
ATOMIC_SPECIES
Sr 87.62 Sr.upf
Ac 227.00 Ac.upf
In 114.82 In.upf
CELL_PARAMETERS angstrom
4.0549 0.0000 0.6438
1.7805 6.9176 1.8773
-0.0032 -0.1294 13.1124
ATOMIC_POSITIONS crystal
Sr 0.0000 0.0000 0.0000
Ac 0.6887 0.4950 0.1277
Ac 0.3113 0.5050 0.8723
Ac 0.3126 0.7866 0.5883
Ac 0.9750 0.7168 0.3332
Ac 0.0250 0.2832 0.6668
Ac 0.6874 0.2134 0.4117
In 0.3546 0.0883 0.2025
In 0.6454 0.9117 0.7975
```

DOS at the Fermi energy ... 10.436 states/eV per cell
Crystal system ... monoclinic
SG ... C2/m
Total magnetic moment ... 0.00 μB/cell
DFT total energy ... -3.708 eV per atom

Record 4
A plane-wave DFT calculation with PBE was carried out for a relaxed structure of Be2CdTc. Values from VASP.

Cell and atoms, written as Quantum ESPRESSO input:
```
&SYSTEM
  ibrav = 0, nat = 4, ntyp = 3
/
ATOMIC_SPECIES
Be 9.01 Be.upf
Tc 98.00 Tc.upf
Cd 112.41 Cd.upf
CELL_PARAMETERS angstrom
4.9664 0.0068 0.0000
2.5595 4.2561 0.0000
-3.7630 -2.1315 2.4418
ATOMIC_POSITIONS crystal
Be 0.0000 0.0000 0.0000
Be 0.2500 0.7500 0.5000
Tc 0.7500 0.2500 0.5000
Cd 0.5000 0.5000 0.0000
```

DOS at the Fermi energy ... 3.096 states/eV per cell
Crystal system ... tetragonal
SG ... I-4m2
Total magnetic moment ... 0.31 μB/cell
DFT total energy ... -4.388 eV per atom

Record 5
A plane-wave DFT calculation with PBE was carried out for a relaxed structure of LiSc4As. Values from VASP.

Cell and atoms, written as Quantum ESPRESSO input:
```
&SYSTEM
  ibrav = 0, nat = 6, ntyp = 3
/
ATOMIC_SPECIES
Li 6.94 Li.upf
Sc 44.96 Sc.upf
As 74.92 As.upf
CELL_PARAMETERS angstrom
4.7342 -2.0463 -2.7548
3.8720 -3.2904 2.8930
0.4526 -5.7072 -1.1881
ATOMIC_POSITIONS crystal
Li 0.0000 0.0000 0.0000
Sc 0.8737 0.3754 0.3754
Sc 0.3754 0.3754 0.8737
Sc 0.3754 0.8737 0.3754
Sc 0.3754 0.3754 0.3754
As 0.7500 0.7500 0.7500
```

DOS at the Fermi energy ... 8.612 states/eV per cell
Crystal system ... cubic
SG ... F-43m
Total magnetic moment ... 0.01 μB/cell
DFT total energy ... -5.039 eV per atom

Record 6
A plane-wave DFT calculation with PBE was carried out for a relaxed structure of Sr4Mg2F. Values from VASP.

Cell and atoms, written as Quantum ESPRESSO input:
```
&SYSTEM
  ibrav = 0, nat = 7, ntyp = 3
/
ATOMIC_SPECIES
Sr 87.62 Sr.upf
Mg 24.30 Mg.upf
F 19.00 F.upf
CELL_PARAMETERS angstrom
5.1461 0.0000 0.0000
0.0000 5.1461 0.0000
-2.5731 -2.5731 9.9433
ATOMIC_POSITIONS crystal
Sr 0.8147 0.8147 0.6293
Sr 0.1853 0.1853 0.3707
Sr 0.0000 0.5000 0.0000
Sr 0.5000 0.0000 0.0000
Mg 0.6313 0.6313 0.2626
Mg 0.3687 0.3687 0.7374
F 0.0000 0.0000 0.0000
```

DOS at the Fermi energy ... 6.028 states/eV per cell
Crystal system ... tetragonal
SG ... I4/mmm
Total magnetic moment ... 0.00 μB/cell
Formation energy (no corrections) ... -71 kJ/mol of atoms

Record 7
A plane-wave DFT calculation with PBE was carried out for a relaxed structure of Ac2LaHo3. Values from VASP.

Cell and atoms, written as Quantum ESPRESSO input:
```
&SYSTEM
  ibrav = 0, nat = 12, ntyp = 3
/
ATOMIC_SPECIES
Ac 227.00 Ac.upf
La 138.91 La.upf
Ho 164.93 Ho.upf
CELL_PARAMETERS angstrom
3.6443 0.0000 -1.2059
-1.9408 10.6892 -5.8653
1.6500 -0.7417 11.0962
ATOMIC_POSITIONS crystal
Ac 0.6611 0.6617 0.3234
Ac 0.3378 0.8383 0.6766
Ac 0.6622 0.1617 0.3234
Ac 0.3389 0.3383 0.6766
La 0.0000 0.5000 0.0000
La 0.0000 0.0000 0.0000
Ho 0.5000 0.2500 0.0000
Ho 0.5000 0.7500 0.0000
Ho 0.1669 0.4169 0.3338
Ho 0.8331 0.0831 0.6662
Ho 0.8331 0.5831 0.6662
Ho 0.1669 0.9169 0.3338
```

DOS at the Fermi energy ... 25.231 states/eV per cell
Crystal system ... orthorhombic
SG ... Cmmm
Total magnetic moment ... 0.00 μB/cell
DFT total energy ... -4.305 eV per atom

Record 8
A plane-wave DFT calculation with PBE was carried out for a relaxed structure of Ca3Th3NpN8. Values from VASP.

Cell and atoms, written as Quantum ESPRESSO input:
```
&SYSTEM
  ibrav = 0, nat = 15, ntyp = 4
/
ATOMIC_SPECIES
Ca 40.08 Ca.upf
Th 232.04 Th.upf
Np 237.00 Np.upf
N 14.01 N.upf
CELL_PARAMETERS angstrom
-5.0875 -4.8180 -1.8756
6.8881 -1.0228 -2.0304
-1.9084 -0.6330 6.8019
ATOMIC_POSITIONS crystal
Ca 0.0000 0.0000 0.0000
Ca 0.0000 0.5000 0.0000
Ca 0.5000 0.5000 0.0000
Th 0.5000 0.0000 0.5000
Th 0.5000 0.5000 0.5000
Th 0.0000 0.5000 0.5000
Np 0.0000 0.0000 0.5000
N 0.2579 0.5158 0.2738
N 0.7421 0.4842 0.7262
N 0.7853 0.5706 0.3025
N 0.2147 0.4294 0.6975
N 0.7853 0.0173 0.3026
N 0.2147 0.9827 0.6974
N 0.2320 0.0173 0.3026
N 0.7680 0.9827 0.6974
```

Crystal system ... trigonal
SG ... R-3m
Total magnetic moment ... 1.00 μB/cell
Formation energy (no corrections) ... -128 kJ/mol of atoms